VN | GGA-PBE | relaxed

Lattice parameters (Å, degrees): 7.7174 7.7174 3.2394 90.00 90.00 90.00
Closest atoms and distances in Å follow each position.
Space group I4/m (No. 87)
Unique sites:
V: 0.1287 0.3206 0.0000 x8  4 N 1.87-1.96
N: 0.1034 0.7485 0.0000 x8  4 V 1.87-1.96

Computed properties:
Energy in eV/atom: -9.64

***

CeErAlSn | GGA-PBE | relaxed

Lattice parameters (Å, degrees): 7.4467 7.4467 7.4467 90.00 90.00 90.00
Closest atoms and distances in Å follow each position.
Space group F-43m (No. 216)
Unique sites:
Ce: 0.0000 0.0000 0.0000 x4  4 Sn 3.22, 4 Al 3.22
Er: 0.0000 0.0000 0.5000 x4  4 Sn 3.22, 4 Al 3.22
Al: 0.2500 0.2500 0.7500 x4  4 Ce 3.22, 4 Er 3.22
Sn: 0.2500 0.2500 0.2500 x4  4 Ce 3.22, 4 Er 3.22

Computed properties:
E_form in eV per atom: -0.41

***

RuPt2Rh | GGA-PBE | relaxed

Lattice parameters (Å, degrees): 6.2589 6.2589 6.2589 90.00 90.00 90.00
Closest atoms and distances in Å follow each position.
Space group F-43m (No. 216)
Unique sites:
Ru: 0.0000 0.0000 0.0000 x4  4 Rh 2.71, 4 Pt 2.71
Pt: 0.0000 0.0000 0.5000 x4  4 Rh 2.71, 4 Pt 2.71
Pt: 0.2500 0.2500 0.7500 x4  4 Ru 2.71, 4 Pt 2.71
Rh: 0.2500 0.2500 0.2500 x4  4 Ru 2.71, 4 Pt 2.71

Computed properties:
Distance to the lowest polymorph of the same formula in eV/atom: 0.3153
E_form in eV per atom: 0.28

***

TbIn3Ru | GGA-PBE | relaxed

Lattice parameters (Å, degrees): 7.5448 7.5448 15.4724 90.00 90.00 120.00
Closest atoms and distances in Å follow each position.
Space group R3c (No. 161, hexagonal axes)
Unique sites:
Tb: 0.0000 0.0000 0.0000 x6  1 Ru 2.69
In: 0.1509 0.3898 0.3614 x18  2 Ru 2.62-2.74
Ru: 0.0000 0.0000 0.3264 x6  6 In 2.62-2.74, 1 Tb 2.69

Computed properties:
Distance to the lowest polymorph of the same formula in eV/atom: 0.2745
E_form in eV per atom: -0.04

***

Ac3GeB2Pt8 | GGA-PBE | relaxed

Lattice parameters (Å, degrees): 6.3347 6.3347 9.1028 90.00 90.00 120.00
Closest atoms and distances in Å follow each position.
Space group P-3m1 (No. 164)
Unique sites:
Ac: 0.0000 0.0000 0.0000 x1  6 Pt 3.15
Ac: 0.3333 0.6667 0.6294 x2  1 B 3.19, 6 Pt 3.25
Ge: 0.0000 0.0000 0.5000 x1  6 Pt 2.49
B: 0.3333 0.6667 0.2786 x2  4 Pt 2.01-2.03
Pt: 0.1504 0.3008 0.2953 x6  1 B 2.01
Pt: 0.3333 0.6667 0.0551 x2  1 B 2.03

Computed properties:
E_form in eV per atom: -0.61

***

BaNiAs8Pd2 | GGA-PBE | relaxed

Lattice parameters (Å, degrees): 6.1654 6.1654 22.7952 90.00 90.00 120.00
Closest atoms and distances in Å follow each position.
Space group R-3 (No. 148, hexagonal axes)
Unique sites:
Ba: 0.0000 0.0000 0.0000 x3  6 As 3.33
Ni: 0.0000 0.0000 0.5000 x3  8 As 2.48-2.58
As: 0.0000 0.0000 0.3868 x6  1 Pd 2.53, 1 Ni 2.58, 3 As 2.71
As: 0.0172 0.6455 0.5463 x18  1 Ni 2.48, 1 Pd 2.51, 2 As 2.71
Pd: 0.0000 0.0000 0.2760 x6  4 As 2.51-2.53

Computed properties:
E_form in eV per atom: -0.19

***

TbDy3Er3 | GGA-PBE | relaxed

Lattice parameters (Å, degrees): 9.5015 9.5015 5.6066 90.00 90.00 120.00
Closest atoms and distances in Å follow each position.
Space group P6_3/m (No. 176)
Unique sites:
Tb: 0.3333 0.6667 0.2500 x2  9 Er 3.49-3.59, 3 Dy 3.58
Dy: 0.0481 0.2388 0.2500 x6  5 Er 3.49-3.60, 6 Dy 3.49-3.60, 1 Tb 3.58
Er: 0.0953 0.4768 0.7500 x6  4 Er 3.48-3.59, 3 Tb 3.49-3.59, 5 Dy 3.49-3.60

Computed properties:
Distance to the lowest polymorph of the same formula in eV/atom: 0.0000
E_form in eV per atom: 0.01

***

Zn2CrCo | GGA-PBE | relaxed

Lattice parameters (Å, degrees): 2.5224 2.5224 7.8612 90.00 90.00 90.00
Closest atoms and distances in Å follow each position.
Space group P4/mmm (No. 123)
Unique sites:
Zn: 0.0000 0.0000 0.2423 x2  4 Zn 2.52, 4 Co 2.61, 4 Cr 2.70
Cr: 0.5000 0.5000 0.5000 x1  4 Cr 2.52, 8 Zn 2.70
Co: 0.5000 0.5000 0.0000 x1  4 Co 2.52, 8 Zn 2.61

Computed properties:
Distance to the lowest polymorph of the same formula in eV/atom: 0.1130
E_form in eV per atom: 0.15

***

ThMg2Ni9 | GGA-PBE | relaxed

Lattice parameters (Å, degrees): 4.8857 4.8857 23.7697 90.00 90.00 120.00
Closest atoms and distances in Å follow each position.
Space group R-3m (No. 166, hexagonal axes)
Unique sites:
Th: 0.0000 0.0000 0.0000 x3  6 Ni 2.82
Mg: 0.0000 0.0000 0.1452 x6  12 Ni 2.82-2.87, 3 Mg 3.00
Ni: 0.0000 0.0000 0.3337 x6  6 Ni 2.47
Ni: 0.0000 0.0000 0.5000 x3  6 Ni 2.40
Ni: 0.0024 0.5012 0.9146 x18  7 Ni 2.40-2.47

Computed properties:
E_form in eV per atom: -0.31

***

HoGeTe3 | GGA-PBE | relaxed

Lattice parameters (Å, degrees): 8.5731 4.0930 8.7581 90.00 93.64 90.00
Closest atoms and distances in Å follow each position.
Space group P2_1/m (No. 11)
Unique sites:
Ho: 0.1267 0.2500 0.2604 x2  8 Te 3.12-3.22
Ge: 0.3519 0.7500 0.8389 x2  6 Te 2.90-3.06
Te: 0.1173 0.2500 0.8928 x2  2 Ge 2.93, 3 Ho 3.16-3.22
Te: 0.1675 0.7500 0.5287 x2  1 Ge 3.06, 3 Ho 3.12-3.22
Te: 0.3892 0.7500 0.1709 x2  3 Ge 2.90-3.02, 2 Ho 3.18

Computed properties:
Energy in eV/atom: -4.37

***

NdHoP | GGA-PBE | relaxed

Lattice parameters (Å, degrees): 3.9625 3.9625 6.5372 90.00 90.00 120.00
Closest atoms and distances in Å follow each position.
Space group P3m1 (No. 156)
Unique sites:
Nd: 0.0000 0.0000 0.0000 x1  3 P 2.85
Ho: 0.3333 0.6667 0.4919 x1  3 P 2.75
P: 0.6667 0.3333 0.2596 x1  3 Ho 2.75, 3 Nd 2.85

Computed properties:
E_form in eV per atom: -0.93

***

FeSi2Se | GGA-PBE | relaxed

Lattice parameters (Å, degrees): 3.5284 3.5284 5.1762 90.00 90.00 90.00
Closest atoms and distances in Å follow each position.
Space group P4/mmm (No. 123)
Unique sites:
Fe: 0.0000 0.0000 0.0000 x1  4 Se 2.49
Si: 0.0000 0.5000 0.5000 x2  4 Si 2.49
Se: 0.5000 0.5000 0.0000 x1  4 Fe 2.49

Computed properties:
Energy in eV/atom: -5.24

***

InCuHg2 | GGA-PBE | relaxed

Lattice parameters (Å, degrees): 3.8531 3.8531 22.0947 90.00 90.00 120.00
Closest atoms and distances in Å follow each position.
Space group R3m (No. 160, hexagonal axes)
Unique sites:
In: 0.0000 0.0000 0.0000 x3  6 Hg 3.09-3.10
Cu: 0.0000 0.0000 0.1660 x3  6 Hg 2.70-2.71
Hg: 0.0000 0.0000 0.5691 x3  3 Cu 2.71
Hg: 0.0000 0.0000 0.7637 x3  3 Cu 2.70

Computed properties:
E_form in eV per atom: 0.17

***

BaSnAsSe2 | GGA-PBE | relaxed

Lattice parameters (Å, degrees): 5.8981 5.8981 5.7253 90.00 90.00 90.00
Closest atoms and distances in Å follow each position.
Space group P4/mmm (No. 123)
Unique sites:
Ba: 0.0000 0.0000 0.0000 x1  2 As 2.86, 4 Se 2.95
Sn: 0.5000 0.5000 0.5000 x1  8 Se 4.11, 4 As 4.17
As: 0.0000 0.0000 0.5000 x1  2 Ba 2.86
Se: 0.0000 0.5000 0.0000 x2  2 Ba 2.95

Computed properties:
Distance to the lowest polymorph of the same formula in eV/atom: 1.0222

***

AgGeBi2 | GGA-PBE | relaxed

Lattice parameters (Å, degrees): 3.3368 3.3368 33.6999 90.00 90.00 120.00
Closest atoms and distances in Å follow each position.
Space group R-3m (No. 166, hexagonal axes)
Unique sites:
Ag: 0.0000 0.0000 0.0000 x3  2 Bi 2.93
Ge: 0.0000 0.0000 0.5000 x3  6 Bi 3.31, 6 Ge 3.34
Bi: 0.0000 0.0000 0.0870 x6  1 Ag 2.93

Computed properties:
E_form in eV per atom: 0.33

***

GeTe2Ir | GGA-PBE | relaxed

Lattice parameters (Å, degrees): 6.2472 6.2472 12.2360 90.00 90.00 90.00
Closest atoms and distances in Å follow each position.
Space group I-42d (No. 122)
Unique sites:
Ge: 0.0000 0.0000 0.0000 x4  4 Te 2.83
Te: 0.2134 0.2500 0.6250 x8  2 Ir 2.56, 2 Ge 2.83
Ir: 0.0000 0.0000 0.5000 x4  4 Te 2.56

Computed properties:
Energy in eV/atom: -4.72

***

BaAc2As | GGA-PBE | relaxed

Lattice parameters (Å, degrees): 4.3515 4.3515 33.5816 90.00 90.00 120.00
Closest atoms and distances in Å follow each position.
Space group R-3m (No. 166, hexagonal axes)
Unique sites:
Ba: 0.0000 0.0000 0.0000 x3  6 Ba 4.35, 6 Ac 4.51
Ac: 0.0000 0.0000 0.2219 x6  3 As 3.12
As: 0.0000 0.0000 0.5000 x3  6 Ac 3.12

Computed properties:
E_form in eV per atom: -0.61

***

TaMoRu2 | GGA-PBE | relaxed

Lattice parameters (Å, degrees): 6.2932 6.2932 6.2932 90.00 90.00 90.00
Closest atoms and distances in Å follow each position.
Space group F-43m (No. 216)
Unique sites:
Ta: 0.0000 0.0000 0.0000 x4  4 Ru 2.73, 4 Mo 2.73
Mo: 0.2500 0.2500 0.2500 x4  4 Ta 2.73, 4 Ru 2.73
Ru: 0.0000 0.0000 0.5000 x4  4 Mo 2.73, 4 Ru 2.73
Ru: 0.2500 0.2500 0.7500 x4  4 Ru 2.73, 4 Ta 2.73

Computed properties:
Distance to the lowest polymorph of the same formula in eV/atom: 0.1600
E_form in eV per atom: 0.08

***

GaS2ICl | GGA-PBE | relaxed

Lattice parameters (Å, degrees): 4.9101 4.9101 4.6861 90.00 90.00 90.00
Closest atoms and distances in Å follow each position.
Space group P4/mmm (No. 123)
Unique sites:
Ga: 0.0000 0.0000 0.0000 x1  2 Cl 2.34, 4 S 2.46
S: 0.0000 0.5000 0.0000 x2  2 Ga 2.46
I: 0.5000 0.5000 0.5000 x1  8 S 3.39, 4 Cl 3.47
Cl: 0.0000 0.0000 0.5000 x1  2 Ga 2.34

Computed properties:
Distance to the lowest polymorph of the same formula in eV/atom: 0.0000

***

La2ZnW | GGA-PBE | relaxed

Lattice parameters (Å, degrees): 3.5717 3.6057 7.9594 90.00 90.00 90.00
Closest atoms and distances in Å follow each position.
Space group Pmmm (No. 47)
Unique sites:
La: 0.0000 0.0000 0.2298 x2  4 W 3.13, 4 Zn 3.33
Zn: 0.5000 0.5000 0.5000 x1  8 La 3.33, 4 Zn 3.57-3.61
W: 0.5000 0.5000 0.0000 x1  8 La 3.13

Computed properties:
E_form in eV per atom: 0.33

***

TlNiTe2 | GGA-PBE | relaxed

Lattice parameters (Å, degrees): 4.1215 4.1215 12.5699 90.00 90.00 90.00
Closest atoms and distances in Å follow each position.
Space group I-4m2 (No. 119)
Unique sites:
Tl: 0.0000 0.0000 0.0000 x2  4 Te 2.91
Ni: 0.0000 0.5000 0.7500 x2  4 Te 2.91
Te: 0.0000 0.0000 0.5000 x2  4 Tl 2.91
Te: 0.0000 0.5000 0.2500 x2  4 Ni 2.91

Computed properties:
Energy in eV/atom: -3.16

***

YBiO | GGA-PBE | relaxed

Lattice parameters (Å, degrees): 3.8122 3.8122 10.8321 90.00 90.00 120.00
Closest atoms and distances in Å follow each position.
Space group P-3m1 (No. 164)
Unique sites:
Y: 0.3333 0.6667 0.3655 x2  4 O 2.27-2.34
Bi: 0.3333 0.6667 0.8888 x2  3 Bi 3.26, 1 O 3.33, 3 Y 3.53
O: 0.3333 0.6667 0.5817 x2  4 Y 2.27-2.34

Computed properties:
Distance to the lowest polymorph of the same formula in eV/atom: 0.0201

***

Pm7HoTm2 | GGA-PBE | relaxed

Lattice parameters (Å, degrees): 8.8230 16.4273 5.6222 90.00 90.00 90.00
Closest atoms and distances in Å follow each position.
Space group Cmmm (No. 65)
Unique sites:
Pm: 0.0000 0.0000 0.0000 x2  2 Tm 3.37, 4 Pm 3.39
Pm: 0.0000 0.2833 0.5000 x4  2 Tm 3.09
Pm: 0.1786 0.3867 0.0000 x8  2 Pm 3.15-3.39, 2 Tm 3.21-3.38
Ho: 0.0000 0.5000 0.5000 x2  10 Pm 3.56-3.72
Tm: 0.0000 0.2050 0.0000 x4  7 Pm 3.09-3.38

Computed properties:
E_form in eV per atom: 0.65

***

ThPaZn2 | GGA-PBE | relaxed

Lattice parameters (Å, degrees): 4.5462 4.5462 4.3546 90.00 90.00 90.00
Closest atoms and distances in Å follow each position.
Space group P4/mmm (No. 123)
Unique sites:
Th: 0.0000 0.0000 0.0000 x1  8 Zn 3.15, 4 Pa 3.21
Pa: 0.5000 0.5000 0.0000 x1  8 Zn 3.15, 4 Th 3.21
Zn: 0.0000 0.5000 0.5000 x2  4 Th 3.15, 4 Pa 3.15, 4 Zn 3.21

Computed properties:
Distance to the lowest polymorph of the same formula in eV/atom: 0.0000
E_form in eV per atom: -0.01

***

Ba8NaMg2 | GGA-PBE | relaxed

Lattice parameters (Å, degrees): 21.9857 6.2118 9.1786 90.00 110.29 90.00
Closest atoms and distances in Å follow each position.
Space group C2/m (No. 12)
Unique sites:
Ba: 0.0323 0.0000 0.2723 x4  1 Mg 3.65, 2 Na 3.94
Ba: 0.0980 0.5000 0.9716 x4  2 Mg 3.84, 1 Na 4.11, 3 Ba 4.18-4.29
Ba: 0.1755 0.5000 0.4562 x4  3 Mg 3.60-3.98, 1 Na 4.02
Ba: 0.1936 0.0000 0.7992 x4  3 Mg 3.70-4.09
Na: 0.0000 0.5000 0.5000 x2  8 Ba 3.94-4.11
Mg: 0.1842 0.0000 0.1936 x4  7 Ba 3.60-3.98

Computed properties:
E_form in eV per atom: 0.02

***

Results for total magnetic moment: 0.000; 0.220; 0.502; 0.000; 0.000; 0.000; 0.000; 0.430; 0.078; 0.000; 0.039; 0.685; 0.000; 0.000; 0.000; 0.000; 0.115; 0.352; 0.000; 0.000; 0.180; 0.000; 0.000; 0.000; 0.000 (in μB/atom, following the order of the records).